[1]
ZrCd2Ag2 (PBE, relaxed); ΔE_f = 0.0625 eV/atom; D(E_F) = 0.379 states/eV/atom; total magnetic moment = 0.0 μB per formula unit
1.0
-2.154 -4.228 6.721
7.533 1.115 3.116
-0.912 2.531 1.300
Zr Cd Ag
2 4 4
Cartesian
2.689 -1.557 4.918 Zr
0.000 0.000 0.000 Zr
5.774 -0.605 5.230 Cd
2.539 -0.120 2.015 Cd
-0.395 -2.509 4.607 Cd
2.840 -2.994 7.822 Cd
0.228 -1.868 7.232 Ag
4.238 1.286 3.905 Ag
0.138 0.073 3.389 Ag
4.329 -0.655 7.748 Ag


[2]
ZrCd3Ag6 (PBE, relaxed); ΔE_f = -0.0063 eV/atom; D(E_F) = 0.374 states/eV/atom; total magnetic moment = 0.7 μB per formula unit
1.0
4.872 -0.001 0.001
0.002 7.437 -3.071
-0.002 -0.424 10.841
Ag Cd Zr
12 6 2
Cartesian
1.216 0.124 9.267 Ag
1.217 1.790 4.278 Ag
1.218 1.146 1.374 Ag
3.655 6.888 -1.496 Ag
3.654 5.866 6.396 Ag
3.653 0.686 7.561 Ag
3.654 2.346 2.571 Ag
1.219 6.326 0.209 Ag
3.654 5.222 3.492 Ag
1.218 4.666 5.199 Ag
3.653 3.613 8.468 Ag
1.219 3.399 -0.698 Ag
1.217 5.323 8.111 Cd
3.653 3.026 5.519 Cd
1.218 3.986 2.251 Cd
1.217 2.381 7.287 Cd
3.655 1.689 -0.341 Cd
3.655 4.631 0.483 Cd
3.653 0.091 4.507 Zr
1.218 6.921 3.263 Zr


[3]
ZrCd3Ag (PBE, relaxed); ΔE_f = 0.9902 eV/atom; D(E_F) = 1.110 states/eV/atom; total magnetic moment = 1.3 μB per formula unit
1.0
5.636 0.000 0.000
0.000 5.636 0.000
0.000 0.000 5.636
Cd Zr Ag
3 1 1
Cartesian
0.000 0.000 2.818 Cd
2.818 0.000 0.000 Cd
0.000 2.818 0.000 Cd
0.000 0.000 0.000 Zr
2.818 2.818 2.818 Ag


[4]
ZrCd3Ag (PBE, relaxed); ΔE_f = -0.0371 eV/atom; D(E_F) = 0.571 states/eV/atom; total magnetic moment = 0.0 μB per formula unit
1.0
3.069 0.000 0.000
0.000 4.944 0.167
0.000 -0.468 13.768
Cd Ag Zr
6 2 2
Cartesian
1.534 3.480 6.190 Cd
1.534 3.293 11.792 Cd
0.000 0.782 12.832 Cd
1.534 1.149 1.903 Cd
1.534 0.961 7.505 Cd
0.000 3.662 0.863 Cd
1.534 0.869 10.252 Ag
1.534 3.570 3.444 Ag
0.000 1.054 4.676 Zr
0.000 3.385 9.019 Zr


[5]
ZrCd2Ag (PBE, relaxed); ΔE_f = -0.0173 eV/atom; D(E_F) = 0.718 states/eV/atom; total magnetic moment = 0.0 μB per formula unit
1.0
-1.812 -0.038 -2.488
-3.022 -0.500 0.305
-3.164 9.798 0.251
Zr Cd Ag
1 2 1
Cartesian
-3.999 4.631 -0.966 Zr
-1.983 2.205 -0.494 Cd
-2.794 7.417 0.017 Cd
-6.387 9.436 -1.205 Ag


[6]
ZrCd2Ag (PBE, relaxed); ΔE_f = -0.0457 eV/atom; D(E_F) = 0.528 states/eV/atom; total magnetic moment = 0.0 μB per formula unit
1.0
4.676 0.000 0.000
0.000 2.969 0.107
0.000 1.074 6.038
Cd Ag Zr
2 1 1
Cartesian
0.000 2.474 0.108 Cd
2.338 0.800 1.480 Cd
2.338 3.590 4.533 Ag
0.000 2.168 3.202 Zr


[7]
ZrCd6Ag8 (PBE, relaxed); ΔE_f = 0.0865 eV/atom; D(E_F) = 0.474 states/eV/atom; total magnetic moment = 0.0 μB per formula unit
1.0
-4.623 -3.291 -0.313
2.219 -2.425 -7.270
2.420 -4.015 6.456
Zr Ag Cd
1 8 6
Cartesian
-2.312 -1.645 -0.157 Zr
-0.997 -7.274 4.087 Ag
1.041 -3.842 -2.779 Ag
0.555 -2.260 -0.519 Ag
-3.112 -4.044 1.371 Ag
3.128 -5.687 -2.497 Ag
-0.539 -7.471 -0.607 Ag
-1.024 -5.889 1.652 Ag
1.013 -2.457 -5.213 Ag
1.488 -5.625 3.361 Cd
0.346 -6.783 -3.187 Cd
1.359 -5.116 -0.086 Cd
-1.472 -4.106 -4.488 Cd
-0.329 -2.948 2.060 Cd
-1.343 -4.615 -1.041 Cd


[8]
ZrCd2Ag (PBE, relaxed); ΔE_f = -0.0682 eV/atom; D(E_F) = 0.637 states/eV/atom; total magnetic moment = 0.3 μB per formula unit
1.0
-2.740 1.483 0.272
-0.942 -1.242 -2.711
-3.202 -6.679 4.174
Cd Ag Zr
2 1 1
Cartesian
-3.156 -6.584 4.114 Cd
-2.641 -1.550 -0.175 Cd
-4.252 -4.909 1.924 Ag
-1.637 -3.415 2.134 Zr


[9]
ZrCd2Ag (PBE, relaxed); ΔE_f = -0.0291 eV/atom; D(E_F) = 0.499 states/eV/atom; total magnetic moment = 0.0 μB per formula unit
1.0
-0.212 -2.914 0.546
3.396 -0.721 -2.529
3.941 0.668 5.102
Cd Zr Ag
2 1 1
Cartesian
2.574 -1.651 0.281 Cd
3.910 0.663 5.062 Cd
2.004 0.340 2.595 Zr
4.548 -1.317 2.836 Ag


[10]
ZrCd2Ag (PBE, relaxed); ΔE_f = -0.0035 eV/atom; D(E_F) = 0.476 states/eV/atom; total magnetic moment = 0.0 μB per formula unit
1.0
5.194 0.017 -0.036
4.357 2.828 -0.036
0.732 0.218 5.700
Zr Cd Ag
1 2 1
Cartesian
5.135 1.530 2.763 Zr
9.548 2.844 -0.067 Cd
7.709 2.296 4.232 Cd
2.583 0.770 1.444 Ag


[11]
ZrCd3Ag (PBE, relaxed); ΔE_f = -0.0201 eV/atom; D(E_F) = 0.640 states/eV/atom; total magnetic moment = 0.0 μB per formula unit
1.0
4.404 0.000 0.000
-2.202 9.067 0.526
0.000 3.201 5.456
Zr Cd Ag
2 6 2
Cartesian
2.202 7.719 1.322 Zr
0.000 4.549 4.660 Zr
0.000 2.888 1.963 Cd
2.202 9.380 4.019 Cd
0.000 5.595 0.715 Cd
2.202 2.448 4.132 Cd
2.202 6.673 5.267 Cd
0.000 9.820 1.850 Cd
0.000 7.250 3.336 Ag
2.202 5.018 2.646 Ag


[12]
ZrCd2Ag3 (PBE, relaxed); ΔE_f = -0.0443 eV/atom; D(E_F) = 0.413 states/eV/atom; total magnetic moment = 0.0 μB per formula unit
1.0
-0.661 -0.929 3.065
-2.547 -1.746 -1.078
6.585 -8.828 -1.255
Ag Cd Zr
3 2 1
Cartesian
4.427 -5.934 -0.844 Ag
2.158 -2.893 -0.411 Ag
0.000 0.000 0.000 Ag
3.887 -8.698 -0.053 Cd
-0.510 -2.804 0.785 Cd
1.689 -5.751 0.366 Zr